A plane-wave DFT calculation with PBE was carried out for RbAlHg2 after structural relaxation.

abc: 4.7216 4.7216 7.2380
angles: 70.96 70.96 60.00
Last column: nearest neighbours and their distance in Å.
Fractional positions:
Rb (0.5000, 0.5000, 0.5000)  6 Hg 3.72
Hg (0.7074, 0.7074, 0.8777)  3 Al 2.85, 3 Hg 3.18
Hg (0.2926, 0.2926, 0.1223)  3 Al 2.85, 3 Hg 3.18
Al (0.0000, 0.0000, 0.0000)  6 Hg 2.85

Summary:
Its crystal system is trigonal. The formation energy comes out at -0.049 eV per atom. The size of the total moment comes out at 0.000 μB/atom.

---

A plane-wave DFT calculation with PBE was carried out for Rb2Al2Hg after structural relaxation.

abc: 10.9671 10.9671 3.3882
angles: 90.00 90.00 90.00
Last column: nearest neighbours and their distance in Å.
Fractional positions:
Al (0.4184, 0.0816, 0.5000)  1 Al 2.53
Al (0.5816, 0.9184, 0.5000)  1 Al 2.53
Al (0.0816, 0.5816, 0.5000)  1 Al 2.53
Al (0.9184, 0.4184, 0.5000)  1 Al 2.53
Rb (0.2038, 0.2962, 0.0000)  2 Rb 3.39, 2 Al 3.73
Rb (0.2962, 0.7962, 0.0000)  2 Rb 3.39, 2 Al 3.73
Rb (0.7962, 0.7038, 0.0000)  2 Rb 3.39, 2 Al 3.73
Rb (0.7038, 0.2038, 0.0000)  2 Rb 3.39, 2 Al 3.73
Hg (0.5000, 0.5000, 0.0000)  2 Hg 3.39
Hg (0.0000, 0.0000, 0.0000)  2 Hg 3.39

Summary:
Its crystal system is tetragonal. The formation energy comes out at 0.363 eV per atom. The size of the total moment comes out at 0.000 μB/atom. Its distance to the lowest polymorph of the same formula is 209 meV/atom.

---

A plane-wave DFT calculation with PBE was carried out for RbAlHg2S4 after structural relaxation.

abc: 6.4470 6.7805 6.7805
angles: 82.56 61.61 61.61
Last column: nearest neighbours and their distance in Å.
Fractional positions:
Rb (0.0000, 0.0000, 0.0000)  8 S 3.50-3.66
Hg (0.5000, 0.3229, 0.6771)  2 S 2.39
Hg (0.5000, 0.6771, 0.3229)  2 S 2.39
S (0.3700, 0.1794, 0.4758)  1 Al 2.29, 1 Hg 2.39
S (0.9748, 0.4758, 0.1794)  1 Al 2.29, 1 Hg 2.39
S (0.6300, 0.5242, 0.8206)  1 Al 2.29, 1 Hg 2.39
S (0.0252, 0.8206, 0.5242)  1 Al 2.29, 1 Hg 2.39
Al (0.0000, 0.5000, 0.5000)  4 S 2.29

Summary:
Its crystal system is orthorhombic. The raw formation energy is -0.709 eV/atom. The size of the total moment comes out at 0.000 μB/atom.

---

A plane-wave DFT calculation with PBE was carried out for RbAlHg2Sb after structural relaxation.

abc: 5.4803 5.4803 5.4810
angles: 90.00 90.00 90.00
Last column: nearest neighbours and their distance in Å.
Fractional positions:
Rb (0.5000, 0.5000, 0.5000)  4 Sb 3.88, 8 Hg 3.88
Al (0.0000, 0.0000, 0.0000)  4 Hg 2.74, 2 Sb 2.74
Hg (0.5000, 0.0000, 0.0000)  2 Al 2.74
Hg (0.0000, 0.5000, 0.0000)  2 Al 2.74
Sb (0.0000, 0.0000, 0.5000)  2 Al 2.74

Summary:
Its crystal system is tetragonal. The raw formation energy is -0.071 eV/atom. The size of the total moment comes out at 0.000 μB/atom.

---

A plane-wave DFT calculation with PBE was carried out for Rb2AlHgSe after structural relaxation.

abc: 6.9237 5.2097 6.9237
angles: 90.00 90.00 90.00
Last column: nearest neighbours and their distance in Å.
Fractional positions:
Al (0.5000, 0.5000, 0.5000)  8 Rb 4.33
Rb (0.0000, 0.0000, 0.5000)  2 Hg 3.46
Rb (0.5000, 0.0000, 0.0000)  2 Hg 3.46
Hg (0.0000, 0.0000, 0.0000)  2 Se 2.60
Se (0.0000, 0.5000, 0.0000)  2 Hg 2.60

Summary:
Its crystal system is tetragonal. The raw formation energy is 0.151 eV/atom. The size of the total moment comes out at 0.200 μB/atom.

---

A plane-wave DFT calculation with PBE was carried out for Rb2TaAlHg after structural relaxation.

abc: 6.8441 5.1890 6.8441
angles: 90.00 90.00 90.00
Last column: nearest neighbours and their distance in Å.
Fractional positions:
Hg (0.5000, 0.5000, 0.5000)  8 Rb 4.29
Al (0.0000, 0.5000, 0.0000)  2 Ta 2.59
Rb (0.5000, 0.0000, 0.0000)  2 Ta 3.42
Rb (0.0000, 0.0000, 0.5000)  2 Ta 3.42
Ta (0.0000, 0.0000, 0.0000)  2 Al 2.59

Summary:
Its crystal system is tetragonal. The formation energy comes out at 1.108 eV per atom. The size of the total moment comes out at 0.602 μB/atom.

---

A plane-wave DFT calculation with PBE was carried out for RbAlHgTe2 after structural relaxation.

abc: 5.5652 5.5652 5.5099
angles: 90.00 90.00 90.00
Last column: nearest neighbours and their distance in Å.
Fractional positions:
Te (0.5000, 0.0000, 0.0000)  2 Al 2.78
Te (0.0000, 0.5000, 0.0000)  2 Al 2.78
Hg (0.0000, 0.0000, 0.5000)  2 Al 2.75
Rb (0.5000, 0.5000, 0.5000)  8 Te 3.92, 4 Hg 3.94
Al (0.0000, 0.0000, 0.0000)  2 Hg 2.75, 4 Te 2.78

Summary:
Its crystal system is tetragonal. The raw formation energy is -0.372 eV/atom. The size of the total moment comes out at 0.000 μB/atom.

---

A plane-wave DFT calculation with PBE was carried out for RbAlTlHg2 after structural relaxation.

abc: 5.4079 5.4079 5.6671
angles: 90.00 90.00 90.00
Last column: nearest neighbours and their distance in Å.
Fractional positions:
Al (0.0000, 0.0000, 0.0000)  4 Hg 2.70, 2 Tl 2.83
Hg (0.0000, 0.5000, 0.0000)  2 Al 2.70
Hg (0.5000, 0.0000, 0.0000)  2 Al 2.70
Rb (0.5000, 0.5000, 0.5000)  4 Tl 3.82, 8 Hg 3.92
Tl (0.0000, 0.0000, 0.5000)  2 Al 2.83

Summary:
Its crystal system is tetragonal. The formation energy comes out at -0.023 eV per atom. The size of the total moment comes out at 0.000 μB/atom.

---

A plane-wave DFT calculation with PBE was carried out for RbAlTl2Hg after structural relaxation.

abc: 5.7100 5.7100 5.3034
angles: 90.00 90.00 90.00
Last column: nearest neighbours and their distance in Å.
Fractional positions:
Tl (0.0000, 0.5000, 0.0000)  2 Al 2.85
Tl (0.5000, 0.0000, 0.0000)  2 Al 2.85
Rb (0.5000, 0.5000, 0.5000)  8 Tl 3.90, 4 Hg 4.04
Hg (0.0000, 0.0000, 0.5000)  2 Al 2.65
Al (0.0000, 0.0000, 0.0000)  2 Hg 2.65, 4 Tl 2.85

Summary:
Its crystal system is tetragonal. The formation energy comes out at 0.048 eV per atom. The size of the total moment comes out at 0.000 μB/atom.

---

A plane-wave DFT calculation with PBE was carried out for Al2ReHg after structural relaxation.

abc: 5.1493 5.1493 5.1493
angles: 136.08 136.08 63.86
Last column: nearest neighbours and their distance in Å.
Fractional positions:
Re (0.7500, 0.2500, 0.5000)  8 Al 2.72-2.91, 4 Hg 2.91
Al (0.0000, 0.0000, 0.0000)  4 Hg 2.72, 4 Re 2.91, 4 Al 2.91
Al (0.2500, 0.7500, 0.5000)  4 Re 2.72, 4 Hg 2.91, 4 Al 2.91
Hg (0.5000, 0.5000, 0.0000)  8 Al 2.72-2.91, 4 Re 2.91

Summary:
Its crystal system is tetragonal. The formation energy comes out at 0.199 eV per atom. The size of the total moment comes out at 0.195 μB/atom.

---

A plane-wave DFT calculation with PBE was carried out for Al2ReHg after structural relaxation.

abc: 4.8573 2.8346 4.7785
angles: 89.99 90.00 90.00
Last column: nearest neighbours and their distance in Å.
Fractional positions:
Hg (0.0000, 0.3749, 0.5071)  6 Al 2.76-2.78, 2 Hg 2.83, 4 Re 3.05
Re (0.5000, 0.8750, 0.7535)  6 Al 2.69-2.87, 2 Re 2.83
Al (0.5000, 0.3751, 0.2310)  4 Re 2.69-2.87, 2 Hg 2.76, 6 Al 2.83-3.01
Al (0.0000, 0.8750, 0.0084)  2 Re 2.72, 4 Hg 2.77-2.78, 6 Al 2.83-3.01

Summary:
Its crystal system is orthorhombic. The formation energy comes out at 0.172 eV per atom. The size of the total moment comes out at 0.000 μB/atom.

---

A plane-wave DFT calculation with PBE was carried out for Al2ReHg after structural relaxation.

abc: 7.2604 7.2604 5.8564
angles: 51.69 51.69 90.00
Last column: nearest neighbours and their distance in Å.
Fractional positions:
Al (0.5992, 0.1250, 0.2500)  2 Re 2.54, 2 Hg 2.79
Al (0.8750, 0.8492, 0.7500)  2 Re 2.54, 2 Hg 2.79
Al (0.3750, 0.4008, 0.7500)  2 Re 2.54, 2 Hg 2.79
Al (0.1508, 0.6250, 0.2500)  2 Re 2.54, 2 Hg 2.79
Re (0.2500, 0.7500, 0.5000)  4 Al 2.54, 2 Hg 2.82
Re (0.5000, 0.5000, 0.0000)  4 Al 2.54, 2 Hg 2.82
Hg (0.0000, 0.0000, 0.0000)  4 Al 2.79, 2 Re 2.82
Hg (0.7500, 0.2500, 0.5000)  4 Al 2.79, 2 Re 2.82

Summary:
Its crystal system is tetragonal. The formation energy comes out at 0.622 eV per atom. The size of the total moment comes out at 0.000 μB/atom.

---

A plane-wave DFT calculation with PBE was carried out for Al2ReHg after structural relaxation.

abc: 5.1406 5.1406 4.7912
angles: 82.83 82.83 31.79
Last column: nearest neighbours and their distance in Å.
Fractional positions:
Al (0.7480, 0.7480, 0.7315)  3 Hg 2.71-2.98, 4 Re 2.72-2.84, 3 Al 2.82-2.95
Al (0.9897, 0.9897, 0.0332)  3 Re 2.75-2.87, 4 Hg 2.75-2.81, 3 Al 2.82-2.95
Re (0.2556, 0.2556, 0.2138)  7 Al 2.72-2.87, 2 Re 2.82
Hg (0.5067, 0.5067, 0.5216)  7 Al 2.71-2.98, 2 Hg 2.82

Summary:
Its crystal system is monoclinic. The formation energy comes out at 0.189 eV per atom. The size of the total moment comes out at 0.000 μB/atom.

---

A plane-wave DFT calculation with PBE was carried out for Al2ReHg after structural relaxation.

abc: 2.8682 5.1668 5.5481
angles: 53.04 90.00 90.00
Last column: nearest neighbours and their distance in Å.
Fractional positions:
Al (0.0000, 0.0000, 0.0000)  2 Re 2.77, 4 Hg 2.79, 6 Al 2.87-2.95
Al (0.5000, 0.5000, 0.0000)  2 Hg 2.77, 4 Re 2.79, 6 Al 2.87-2.95
Re (0.0000, 0.0000, 0.5000)  6 Al 2.77-2.79, 2 Re 2.87, 4 Hg 2.95
Hg (0.5000, 0.5000, 0.5000)  6 Al 2.77-2.79, 2 Hg 2.87, 4 Re 2.95

Summary:
Its crystal system is monoclinic. The formation energy comes out at 0.301 eV per atom. The size of the total moment comes out at 0.000 μB/atom.

---

A plane-wave DFT calculation with PBE was carried out for Al2ReHg after structural relaxation.

abc: 4.3366 4.3366 3.3775
angles: 90.00 90.00 90.00
Last column: nearest neighbours and their distance in Å.
Fractional positions:
Hg (0.5000, 0.0000, 0.5000)  8 Al 2.75, 4 Re 3.07
Al (0.5000, 0.5000, 0.0000)  4 Hg 2.75, 4 Re 2.75, 4 Al 3.07
Al (0.0000, 0.0000, 0.0000)  4 Hg 2.75, 4 Re 2.75, 4 Al 3.07
Re (0.0000, 0.5000, 0.5000)  8 Al 2.75, 4 Hg 3.07

Summary:
Its crystal system is tetragonal. The formation energy comes out at 0.206 eV per atom. The size of the total moment comes out at 0.000 μB/atom.

---

A plane-wave DFT calculation with PBE was carried out for Al2ReHg after structural relaxation.

abc: 3.2919 3.3169 6.8460
angles: 61.03 90.00 90.00
Last column: nearest neighbours and their distance in Å.
Fractional positions:
Hg (0.5000, 0.2500, 0.2500)  8 Al 2.90, 2 Re 2.99
Re (0.5000, 0.7500, 0.7500)  8 Al 2.66
Al (0.0000, 0.0372, 0.9630)  1 Al 2.55, 4 Re 2.66
Al (0.0000, 0.4628, 0.5370)  1 Al 2.55, 4 Re 2.66

Summary:
Its crystal system is orthorhombic. The formation energy comes out at 0.030 eV per atom. The size of the total moment comes out at 0.000 μB/atom.

---

A plane-wave DFT calculation with PBE was carried out for Al2ReHg after structural relaxation.

abc: 3.4635 3.4635 5.5397
angles: 90.00 90.00 90.00
Last column: nearest neighbours and their distance in Å.
Fractional positions:
Al (0.0000, 0.0000, 0.9749)  4 Re 2.65, 2 Hg 2.73-2.81, 4 Al 2.89
Al (0.5000, 0.5000, 0.2504)  1 Re 2.54, 4 Hg 2.77
Hg (0.0000, 0.0000, 0.4824)  6 Al 2.73-2.81, 4 Re 2.99
Re (0.5000, 0.5000, 0.7923)  5 Al 2.54-2.65

Summary:
Its crystal system is tetragonal. The formation energy comes out at 0.202 eV per atom. The size of the total moment comes out at 0.000 μB/atom.

---

A plane-wave DFT calculation with PBE was carried out for Al2ReHg after structural relaxation.

abc: 4.8103 4.8103 5.1582
angles: 81.64 81.64 34.62
Last column: nearest neighbours and their distance in Å.
Fractional positions:
Al (0.0135, 0.0135, 0.9666)  4 Al 2.70-2.86, 3 Re 2.70-2.82, 3 Hg 2.80-2.99
Al (0.4865, 0.4865, 0.5334)  4 Al 2.70-2.86, 3 Re 2.70-2.82, 3 Hg 2.80-2.99
Hg (0.2500, 0.2500, 0.2500)  6 Al 2.80-2.99, 2 Hg 2.86, 4 Re 2.95
Re (0.7500, 0.7500, 0.7500)  6 Al 2.70-2.82, 2 Re 2.86, 4 Hg 2.95

Summary:
Its crystal system is monoclinic. The formation energy comes out at 0.251 eV per atom. The size of the total moment comes out at 0.000 μB/atom.

---

A plane-wave DFT calculation with PBE was carried out for AlReHg4 after structural relaxation.

abc: 5.7459 5.7459 5.7459
angles: 60.00 60.00 60.00
Last column: nearest neighbours and their distance in Å.
Fractional positions:
Hg (0.3753, 0.3753, 0.8742)  6 Hg 2.87-2.88
Hg (0.3753, 0.8742, 0.3753)  6 Hg 2.87-2.88
Hg (0.3753, 0.3753, 0.3753)  6 Hg 2.87-2.88
Hg (0.8742, 0.3753, 0.3753)  6 Hg 2.87-2.88
Re (0.7500, 0.7500, 0.7500)  12 Hg 3.37, 4 Al 3.52
Al (0.0000, 0.0000, 0.0000)  12 Hg 3.37, 4 Re 3.52

Summary:
Its crystal system is cubic. The formation energy comes out at 1.072 eV per atom. The size of the total moment comes out at 0.510 μB/atom.

---

A plane-wave DFT calculation with PBE was carried out for Al3ReHg after structural relaxation.

abc: 4.8449 4.8449 4.8449
angles: 90.00 90.00 90.00
Last column: nearest neighbours and their distance in Å.
Fractional positions:
Al (0.0000, 0.5000, 0.0000)  2 Re 2.42
Al (0.5000, 0.0000, 0.0000)  2 Re 2.42
Al (0.0000, 0.0000, 0.5000)  2 Re 2.42
Re (0.0000, 0.0000, 0.0000)  6 Al 2.42
Hg (0.5000, 0.5000, 0.5000)  12 Al 3.43

Summary:
Its crystal system is cubic. The formation energy comes out at 0.349 eV per atom. The size of the total moment comes out at 0.000 μB/atom. Its distance to the lowest polymorph of the same formula is 0 meV/atom.